Compound: Ac4AlIn2
Source: Alexandria
Functional: GGA-PBE
Structure: optimized geometry

Geometry as POSCAR:
```
Ac4AlIn2
1.0
-4.867 -1.353 -2.613
-4.540 -1.537 3.062
-5.833 7.884 0.592
Ac Al In
4 1 2
Cartesian
-8.621 5.780 0.685 Ac
-6.619 -0.787 0.356 Ac
-4.823 4.571 0.427 Ac
-10.417 0.422 0.615 Ac
0.000 0.000 0.000 Al
-11.425 3.727 0.780 In
-3.816 1.267 0.261 In
```

energy relative to the elements: -0.227 eV per atom
calculated total energy: -3.89 eV per atom



Compound: AcAl2In
Source: Alexandria
Functional: GGA-PBE
Structure: optimized geometry

Geometry as POSCAR:
```
AcAl2In
1.0
-3.297 -2.156 -2.414
2.376 -4.118 0.434
-2.354 -0.932 4.047
In Ac Al
1 1 2
Cartesian
-1.648 -1.078 -1.207 In
-1.638 -3.603 1.033 Ac
-1.177 -0.466 2.024 Al
1.188 -2.059 0.217 Al
```

energy relative to the elements: -0.186 eV per atom
calculated total energy: -3.77 eV per atom



Compound: Ac3Al3In2
Source: Alexandria
Functional: GGA-PBE
Structure: optimized geometry

Geometry as POSCAR:
```
Ac3Al3In2
1.0
-0.539 3.336 -3.206
-5.296 -3.964 0.150
-7.198 10.059 11.680
In Al Ac
4 6 6
Cartesian
-10.536 8.958 7.711 In
-2.498 0.474 0.913 In
-8.599 6.251 4.568 In
-4.435 3.181 4.057 In
-8.064 8.225 6.532 Al
-11.548 7.616 9.869 Al
-1.485 1.816 -1.245 Al
-4.367 5.844 3.432 Al
-8.666 3.589 5.192 Al
-4.969 1.207 2.092 Al
-8.095 8.433 10.138 Ac
-7.149 4.088 2.073 Ac
-4.938 0.999 -1.514 Ac
-2.691 3.927 1.155 Ac
-5.884 5.344 6.551 Ac
-10.342 5.506 7.469 Ac
```

energy relative to the elements: -0.365 eV per atom
calculated total energy: -3.99 eV per atom



Compound: AcAl2In
Source: Alexandria
Functional: GGA-PBE
Structure: optimized geometry

Geometry as POSCAR:
```
AcAl2In
1.0
-1.155 -2.006 -4.164
-2.719 -2.867 4.861
-5.843 4.562 -0.578
Al In Ac
4 2 2
Cartesian
-6.049 -1.391 2.348 Al
-3.018 -3.869 -0.024 Al
-2.158 1.112 0.062 Al
-4.271 2.762 -0.147 Al
-6.566 1.482 1.106 In
-3.006 -1.297 1.459 In
-5.183 -0.700 -0.951 Ac
-1.066 -1.578 -1.669 Ac
```

energy relative to the elements: -0.256 eV per atom
calculated total energy: -3.84 eV per atom



Compound: Ac2Al2In3
Source: Alexandria
Functional: GGA-PBE
Structure: optimized geometry

Geometry as POSCAR:
```
Ac2Al2In3
1.0
4.679 0.000 0.000
0.000 4.296 0.000
0.000 -2.148 10.505
Ac Al In
2 2 3
Cartesian
0.000 2.148 7.041 Ac
0.000 0.000 3.464 Ac
2.339 2.148 4.523 Al
2.339 0.000 5.982 Al
2.339 0.000 8.986 In
0.000 0.000 0.000 In
2.339 2.148 1.519 In
```

energy relative to the elements: -0.253 eV per atom
calculated total energy: -3.67 eV per atom



Compound: Ac3AlIn2
Source: Alexandria
Functional: GGA-PBE
Structure: optimized geometry

Geometry as POSCAR:
```
Ac3AlIn2
1.0
-1.428 0.827 4.369
-3.757 -12.868 1.208
12.280 -3.152 4.610
Ac In Al
12 8 4
Cartesian
2.667 -6.759 3.399 Ac
4.429 -8.434 6.788 Ac
8.124 -10.295 8.348 Ac
5.409 -12.127 5.312 Ac
7.566 -5.534 7.265 Ac
-1.028 -4.899 1.839 Ac
-0.471 -9.659 2.923 Ac
0.995 -12.104 6.361 Ac
-3.195 -11.940 4.961 Ac
6.100 -3.089 3.827 Ac
1.687 -3.066 4.876 Ac
10.290 -3.253 5.227 Ac
-0.607 -6.600 4.795 In
2.877 -10.159 4.112 In
8.561 -13.296 6.563 In
4.218 -5.034 6.076 In
3.341 -0.927 2.515 In
7.703 -8.593 5.392 In
3.755 -14.266 7.672 In
-1.466 -1.898 3.624 In
6.063 -6.442 4.449 Al
0.761 -1.995 1.875 Al
1.032 -8.751 5.738 Al
6.334 -13.198 8.313 Al
```

energy relative to the elements: -0.354 eV per atom
calculated total energy: -3.94 eV per atom



Compound: AcAl4In
Source: Alexandria
Functional: GGA-PBE
Structure: optimized geometry

Geometry as POSCAR:
```
AcAl4In
1.0
-4.863 -1.752 -2.628
-0.949 -5.653 -0.872
-4.104 -2.753 3.033
Al Ac In
4 1 1
Cartesian
-5.727 -3.515 0.146 Al
-3.760 -5.475 1.028 Al
-6.203 -6.355 -0.292 Al
-4.142 -4.972 -1.816 Al
-2.479 -2.540 -0.117 Ac
0.000 0.000 0.000 In
```

energy relative to the elements: -0.099 eV per atom
calculated total energy: -3.74 eV per atom



Compound: AcAl2In
Source: Alexandria
Functional: GGA-PBE
Structure: optimized geometry

Geometry as POSCAR:
```
AcAl2In
1.0
4.836 0.000 0.000
-2.418 5.839 0.000
0.000 0.000 7.303
In Al Ac
2 4 2
Cartesian
2.418 3.523 5.477 In
0.000 2.316 1.826 In
2.418 1.227 0.493 Al
2.418 1.227 3.159 Al
0.000 4.612 4.144 Al
0.000 4.612 6.810 Al
0.000 1.105 5.477 Ac
2.418 4.734 1.826 Ac
```

energy relative to the elements: -0.279 eV per atom
calculated total energy: -3.86 eV per atom



Compound: Ac2Al3In
Source: Alexandria
Functional: GGA-PBE
Structure: optimized geometry

Geometry as POSCAR:
```
Ac2Al3In
1.0
-5.300 -2.910 -2.613
3.644 -2.774 -4.734
2.029 -3.529 8.332
Al Ac In
6 4 2
Cartesian
3.293 -5.300 3.358 Al
-0.017 -7.139 -0.532 Al
1.654 -3.843 -3.458 Al
0.391 -2.074 1.517 Al
-1.280 -5.370 4.443 Al
-2.919 -3.913 -2.374 Al
-1.241 -4.262 -5.509 Ac
-2.049 -4.641 1.022 Ac
2.423 -4.572 -0.038 Ac
-0.414 -1.422 -1.839 Ac
-0.426 -4.970 -2.118 In
0.800 -4.243 3.102 In
```

energy relative to the elements: -0.416 eV per atom
calculated total energy: -4.11 eV per atom



Compound: Ac2AlIn
Source: Alexandria
Functional: GGA-PBE
Structure: optimized geometry

Geometry as POSCAR:
```
Ac2AlIn
1.0
4.017 0.000 0.000
0.000 4.017 0.000
0.000 0.000 8.134
Ac Al In
2 1 1
Cartesian
0.000 0.000 1.947 Ac
0.000 0.000 6.187 Ac
2.008 2.008 0.000 Al
2.008 2.008 4.067 In
```

energy relative to the elements: -0.319 eV per atom
calculated total energy: -3.99 eV per atom



Compound: Ac12AlIn6
Source: Alexandria
Functional: GGA-PBE
Structure: optimized geometry

Geometry as POSCAR:
```
Ac12AlIn6
1.0
-4.128 8.828 -0.460
-5.879 -5.725 5.276
8.383 0.924 4.904
Ac In Al
12 6 1
Cartesian
3.697 -2.065 8.387 Ac
-3.257 0.565 2.719 Ac
-2.711 -4.618 6.206 Ac
-2.966 4.714 5.714 Ac
0.454 3.746 2.021 Ac
-5.321 6.091 1.333 Ac
-7.672 0.583 5.391 Ac
1.634 3.462 7.001 Ac
1.342 -0.687 4.006 Ac
-2.078 0.281 7.699 Ac
1.087 8.645 3.514 Ac
6.049 3.444 4.329 Ac
-4.503 1.573 5.661 In
-3.010 3.966 2.449 In
2.880 2.454 4.059 In
0.165 5.686 4.736 In
1.387 0.061 7.271 In
-1.788 -1.660 4.984 In
0.000 0.000 0.000 Al
```

energy relative to the elements: -0.091 eV per atom
calculated total energy: -3.75 eV per atom



Compound: Ac2Al5In
Source: Alexandria
Functional: GGA-PBE
Structure: optimized geometry

Geometry as POSCAR:
```
Ac2Al5In
1.0
4.700 0.000 0.000
-2.350 9.002 0.000
0.000 0.000 9.415
Al Ac In
10 4 2
Cartesian
0.000 3.261 8.372 Al
0.000 6.259 9.307 Al
2.350 1.683 7.061 Al
0.000 6.259 4.816 Al
0.000 3.261 5.751 Al
0.000 7.320 2.354 Al
2.350 5.742 1.043 Al
2.350 2.743 0.109 Al
2.350 2.743 4.599 Al
2.350 5.742 3.664 Al
0.000 3.716 2.354 Ac
0.000 0.000 4.708 Ac
2.350 5.286 7.061 Ac
0.000 0.000 0.000 Ac
0.000 7.905 7.061 In
2.350 1.097 2.354 In
```

energy relative to the elements: -0.335 eV per atom
calculated total energy: -4.04 eV per atom



Compound: Ac6AlIn
Source: Alexandria
Functional: GGA-PBE
Structure: optimized geometry

Geometry as POSCAR:
```
Ac6AlIn
1.0
5.397 0.000 1.625
-0.490 5.374 1.626
-0.249 -0.274 10.601
Ac Al In
6 1 1
Cartesian
3.557 3.895 7.734 Ac
1.101 1.205 6.117 Ac
3.016 0.348 9.529 Ac
1.641 4.752 4.323 Ac
4.584 2.065 4.323 Ac
0.074 3.035 9.529 Ac
0.000 0.000 0.000 Al
2.453 2.687 1.625 In
```

energy relative to the elements: -0.133 eV per atom
calculated total energy: -4.02 eV per atom



Compound: Ac4AlIn
Source: Alexandria
Functional: GGA-PBE
Structure: optimized geometry

Geometry as POSCAR:
```
Ac4AlIn
1.0
5.564 0.000 0.000
2.782 4.806 0.279
2.782 1.079 9.215
Al Ac In
1 4 1
Cartesian
0.000 0.000 0.000 Al
5.564 3.143 1.248 Ac
8.347 4.613 3.612 Ac
2.782 1.271 5.882 Ac
5.564 2.741 8.246 Ac
5.564 2.942 4.747 In
```

energy relative to the elements: -0.078 eV per atom
calculated total energy: -3.90 eV per atom



Compound: Ac2AlIn
Source: Alexandria
Functional: GGA-PBE
Structure: optimized geometry

Geometry as POSCAR:
```
Ac2AlIn
1.0
-4.458 -0.723 -1.960
1.201 -4.239 -1.169
0.192 -1.703 6.375
In Al Ac
1 1 2
Cartesian
-1.686 -2.539 -1.412 In
-1.533 -1.554 4.059 Al
-0.364 -0.369 0.964 Ac
-2.871 -3.739 1.725 Ac
```

energy relative to the elements: -0.351 eV per atom
calculated total energy: -4.03 eV per atom



Compound: Ac4AlIn3
Source: Alexandria
Functional: GGA-PBE
Structure: optimized geometry

Geometry as POSCAR:
```
Ac4AlIn3
1.0
-0.088 4.841 -1.147
0.806 -1.032 -4.417
-12.163 -0.707 -2.055
In Ac Al
3 4 1
Cartesian
-5.157 -0.300 -0.871 In
-11.382 1.761 -2.489 In
-6.607 -0.923 -3.393 In
-10.112 -1.127 -3.985 Ac
-1.689 -0.098 -0.285 Ac
-3.931 1.655 -3.507 Ac
-7.855 1.967 -1.893 Ac
-0.484 1.856 -2.924 Al
```

energy relative to the elements: -0.389 eV per atom
calculated total energy: -3.94 eV per atom



Compound: Ac6AlIn5
Source: Alexandria
Functional: GGA-PBE
Structure: optimized geometry

Geometry as POSCAR:
```
Ac6AlIn5
1.0
-2.014 -4.655 -2.754
8.733 2.337 -4.290
-0.373 -2.050 9.787
Ac In Al
6 5 1
Cartesian
6.275 -2.574 -0.238 Ac
3.292 -4.011 4.374 Ac
5.812 -0.980 3.454 Ac
3.054 -0.357 -1.630 Ac
0.534 -3.389 -0.711 Ac
0.071 -1.795 2.981 Ac
0.169 -3.632 6.016 In
3.173 -2.184 1.372 In
5.693 0.872 0.409 In
2.667 -0.586 5.088 In
6.177 -0.737 -3.273 In
0.000 0.000 0.000 Al
```

energy relative to the elements: -0.383 eV per atom
calculated total energy: -3.89 eV per atom



Compound: Ac6AlIn2
Source: Alexandria
Functional: GGA-PBE
Structure: optimized geometry

Geometry as POSCAR:
```
Ac6AlIn2
1.0
-2.930 -5.035 7.731
1.989 -5.957 -7.367
8.132 4.908 1.867
Ac Al In
12 2 4
Cartesian
6.512 -3.823 -3.580 Ac
3.595 -5.791 1.772 Ac
3.075 -3.467 -1.713 Ac
0.660 -2.908 1.770 Ac
-1.355 -5.278 4.461 Ac
0.679 -2.261 5.811 Ac
6.531 -3.176 0.462 Ac
3.596 -0.293 0.460 Ac
6.978 2.044 0.289 Ac
4.116 -2.617 3.944 Ac
8.546 -0.806 -2.230 Ac
0.213 -8.128 1.942 Ac
5.061 -0.524 -2.750 Al
0.000 0.000 0.000 Al
6.392 -0.457 2.739 In
0.799 -5.627 -0.508 In
1.826 -0.045 3.369 In
3.376 -0.083 6.229 In
```

energy relative to the elements: -0.205 eV per atom
calculated total energy: -3.97 eV per atom



Compound: Ac3Al3In
Source: Alexandria
Functional: GGA-PBE
Structure: optimized geometry

Geometry as POSCAR:
```
Ac3Al3In
1.0
4.840 0.000 0.729
2.388 5.985 0.578
0.244 0.049 14.808
Ac Al In
6 6 2
Cartesian
4.649 4.266 1.997 Ac
3.476 1.961 9.786 Ac
1.934 1.631 3.594 Ac
5.539 4.403 12.521 Ac
2.824 1.768 14.118 Ac
3.997 4.074 6.329 Ac
2.798 5.287 14.288 Al
4.675 0.747 1.827 Al
6.740 5.109 4.547 Al
6.063 4.296 9.048 Al
1.411 1.738 7.068 Al
0.733 0.925 11.568 Al
3.495 5.489 9.664 In
3.979 0.545 6.451 In
```

energy relative to the elements: -0.348 eV per atom
calculated total energy: -4.10 eV per atom



Compound: Ac5Al2In5
Source: Alexandria
Functional: GGA-PBE
Structure: optimized geometry

Geometry as POSCAR:
```
Ac5Al2In5
1.0
-1.797 -3.111 -3.475
7.173 -4.023 -3.701
-2.464 -7.740 4.609
Ac Al In
5 2 5
Cartesian
1.649 -12.121 -0.785 Ac
-2.402 -7.452 0.725 Ac
1.263 -2.754 -1.782 Ac
2.354 -5.882 0.454 Ac
5.315 -7.422 -3.292 Ac
2.072 -5.797 -3.071 Al
0.840 -9.078 0.504 Al
-1.426 -10.599 -0.557 In
3.364 -8.980 -0.888 In
4.338 -4.275 -2.010 In
0.000 0.000 0.000 In
-0.452 -5.895 -1.678 In
```

energy relative to the elements: -0.375 eV per atom
calculated total energy: -3.85 eV per atom



Compound: Ac3Al2In2
Source: Alexandria
Functional: GGA-PBE
Structure: optimized geometry

Geometry as POSCAR:
```
Ac3Al2In2
1.0
-0.698 2.908 -3.310
4.689 -4.346 -1.800
-8.356 -3.164 -1.018
Al Ac In
2 3 2
Cartesian
-6.178 -4.089 -2.290 Al
1.813 -0.514 -3.839 Al
-0.349 1.454 -1.655 Ac
-4.104 -1.703 -3.636 Ac
-0.261 -2.900 -2.492 Ac
-1.844 -3.399 -5.602 In
-2.521 -1.204 -0.526 In
```

energy relative to the elements: -0.395 eV per atom
calculated total energy: -4.01 eV per atom